An optimized crystal structure of Na2NiH8S2O12, computed with PBE with a Hubbard U.

a = 5.538 Å, b = 8.298 Å, c = 11.138 Å
α = 90.00°, β = 99.88°, γ = 90.00°
Site moments in Bohr magnetons follow the coordinates.
Fractional coordinates of all 50 atoms:
Na1 0.879 0.071 0.637  0.00
Na2 0.121 0.571 0.863  0.00
Na3 0.121 0.929 0.363  0.00
Na4 0.879 0.429 0.137  0.00
Ni1 0.000 0.000 0.000  1.80
Ni2 0.000 0.500 0.500  1.80
H1 0.230 0.940 0.819  0.00
H2 0.770 0.440 0.681  0.00
H3 0.770 0.060 0.181  0.00
H4 0.230 0.560 0.319  0.00
H5 0.224 0.131 0.844  0.00
H6 0.776 0.631 0.656  0.00
H7 0.776 0.869 0.156  0.00
H8 0.224 0.369 0.344  0.00
H9 0.326 0.306 0.636  0.00
H10 0.674 0.806 0.864  0.00
H11 0.674 0.694 0.364  0.00
H12 0.326 0.194 0.136  0.00
H13 0.243 0.231 0.508  0.00
H14 0.757 0.731 0.992  0.00
H15 0.757 0.769 0.492  0.00
H16 0.243 0.269 0.008  0.00
S1 0.621 0.285 0.863  0.00
S2 0.379 0.785 0.637  0.00
S3 0.379 0.715 0.137  0.00
S4 0.621 0.215 0.363  0.00
O1 0.639 0.273 0.730  0.00
O2 0.361 0.773 0.770  0.00
O3 0.361 0.727 0.270  0.00
O4 0.639 0.227 0.230  0.00
O5 0.780 0.416 0.921  -0.02
O6 0.220 0.916 0.579  -0.02
O7 0.220 0.584 0.079  -0.02
O8 0.780 0.084 0.421  -0.02
O9 0.685 0.128 0.925  0.00
O10 0.315 0.628 0.575  0.00
O11 0.315 0.872 0.075  0.00
O12 0.685 0.372 0.425  0.00
O13 0.357 0.319 0.871  -0.01
O14 0.643 0.819 0.629  -0.01
O15 0.643 0.681 0.129  -0.01
O16 0.357 0.181 0.371  -0.01
O17 0.123 0.031 0.837  0.03
O18 0.877 0.531 0.663  0.03
O19 0.877 0.969 0.163  0.03
O20 0.123 0.469 0.337  0.03
O21 0.178 0.289 0.574  0.03
O22 0.822 0.789 0.926  0.03
O23 0.822 0.711 0.426  0.03
O24 0.178 0.211 0.074  0.03

Calculated values
Total energy: -5.343 eV/atom
Calculated volume: 504.19 Å³/cell
Space-group type: P2_1/c, No. 14
Total moment: 1.9 μB/f.u.